Computed, not measured: a relaxed structure of Li2YSn at the PBE-GGA level of DFT.

Structure (extended XYZ):
```
4
Lattice="4.850 0.000 0.000 0.000 4.386 0.000 0.000 0.000 4.386" Properties=species:S:1:pos:R:3 pbc="T T T"
Sn 2.425 0.000 0.000
Li 0.000 0.000 2.193
Li 0.000 2.193 0.000
Y 2.425 2.193 2.193
```

Results
The value obtained for the density of states at the Fermi level is 2.18 states/eV/f.u. The value obtained for the total energy is -3.935 eV per atom. The calculation puts the energy of formation from the pure elements at -1.4 eV per formula unit. Its crystal system is tetragonal. The value obtained for the magnetization is 0.0 μB per formula unit.



Computed, not measured: a relaxed structure of LaRe at the PBE-GGA level of DFT.

Structure (extended XYZ):
```
12
Lattice="-5.699 -8.239 -5.400 3.347 0.612 -4.466 3.269 -3.547 1.963" Properties=species:S:1:pos:R:3 pbc="T T T"
La 3.370 0.270 -3.968
La -1.425 -5.291 -6.027
La 2.390 -3.067 -1.454
La -1.593 -8.825 -5.228
La 0.291 -2.809 -4.401
La -0.691 -6.144 -1.888
Re -1.101 -2.554 -1.631
Re -2.257 -4.358 -2.961
Re -3.621 -6.197 -4.019
Re 0.598 -7.913 -7.239
Re 4.936 -1.516 -2.896
Re 3.777 -3.318 -4.227
```

Results
Its offset from the most stable computed form is 262.8 meV per atom. The value obtained for the density of states at the Fermi level is 1.80 states/eV/f.u. The value obtained for the total energy is -8.273 eV per atom. The calculation puts the energy of formation from the pure elements at 0.8 eV per formula unit. Its crystal system is orthorhombic. The value obtained for the magnetization is 0.0 μB per formula unit.



Computed, not measured: a relaxed structure of Ba4NaLi at the PBE-GGA level of DFT.

Structure (extended XYZ):
```
6
Lattice="-0.857 4.112 1.613 -3.089 -3.657 7.683 8.426 0.470 3.276" Properties=species:S:1:pos:R:3 pbc="T T T"
Ba 4.965 1.440 5.243
Ba 0.289 3.429 3.965
Ba -0.485 -0.514 7.329
Ba 4.191 -2.502 8.608
Li -0.428 2.056 0.806
Na 2.668 -1.593 5.480
```

Results
Its offset from the most stable computed form is 194.8 meV per atom. The value obtained for the density of states at the Fermi level is 8.46 states/eV/f.u. The value obtained for the total energy is -1.597 eV per atom. The calculation puts the energy of formation from the pure elements at 1.3 eV per formula unit. Its crystal system is orthorhombic. The value obtained for the magnetization is 0.0 μB per formula unit.



Computed, not measured: a relaxed structure of KLa2Sc at the PBE-GGA level of DFT.

Structure (extended XYZ):
```
4
Lattice="6.210 0.000 0.000 0.000 6.210 0.000 0.000 0.000 3.784" Properties=species:S:1:pos:R:3 pbc="T T T"
La 0.000 0.000 0.000
La 3.105 3.105 0.000
Sc 3.105 0.000 1.892
K 0.000 3.105 1.892
```

Results
Its offset from the most stable computed form is 278.8 meV per atom. The value obtained for the density of states at the Fermi level is 6.14 states/eV/f.u. The value obtained for the total energy is -3.850 eV per atom. The calculation puts the energy of formation from the pure elements at 1.9 eV per formula unit. Its crystal system is tetragonal. The value obtained for the magnetization is 0.0 μB per formula unit.